[1]
The following is a DFT calculation (PBE-GGA) of an optimized crystal structure of CrAsHSe2.

Properties
- density (g cm⁻³) = 6.363
- M_tot (μB/cell) = 0.05
- raw total energy (eV/cell) = -20.6

abc: 4.696 4.696 3.383
angles: 90.00 90.00 90.00
Space group P4/mmm (No. 123)
Symmetry-distinct sites (fractional):
Cr1 0.000 0.000 0.000
As1 0.500 0.500 0.000
H1 0.500 0.500 0.500
Se1 0.000 0.500 0.500

[2]
The following is a DFT calculation (PBE-GGA) of an optimized crystal structure of CrAsHSe2.

Properties
- density (g cm⁻³) = 4.540
- M_tot (μB/cell) = 1.03
- raw total energy (eV/cell) = -21.1

abc: 4.714 4.714 4.705
angles: 90.00 90.00 90.00
Space group P4/mmm (No. 123)
Symmetry-distinct sites (fractional):
Cr1 0.000 0.000 0.000
As1 0.000 0.000 0.500
H1 0.500 0.500 0.500
Se1 0.000 0.500 0.000

[3]
The following is a DFT calculation (PBE-GGA) of an optimized crystal structure of Cr2AsHSe.

Properties
- density (g cm⁻³) = 3.513
- M_tot (μB/cell) = 8.76
- raw total energy (eV/cell) = -25.0

abc: 4.874 4.874 5.151
angles: 90.00 90.00 90.00
Space group P4/mmm (No. 123)
Symmetry-distinct sites (fractional):
Cr1 0.000 0.500 0.000
As1 0.000 0.000 0.000
H1 0.500 0.500 0.500
Se1 0.000 0.000 0.500

[4]
The following is a DFT calculation (PBE-GGA) of an optimized crystal structure of Ti2CrAsH.

Properties
- density (g cm⁻³) = 6.211
- M_tot (μB/cell) = 0.41
- raw total energy (eV/cell) = -35.4

abc: 4.033 4.033 3.676
angles: 90.00 90.00 90.00
Space group P4/mmm (No. 123)
Symmetry-distinct sites (fractional):
Ti1 0.000 0.500 0.000
Cr1 0.000 0.000 0.500
As1 0.500 0.500 0.500
H1 0.000 0.000 0.000

[5]
The following is a DFT calculation (PBE-GGA) of an optimized crystal structure of TlCrAs2H.

Properties
- density (g cm⁻³) = 7.695
- M_tot (μB/cell) = 4.03
- raw total energy (eV/cell) = -21.7

abc: 4.274 4.274 4.810
angles: 90.00 90.00 90.00
Space group P4/mmm (No. 123)
Symmetry-distinct sites (fractional):
Tl1 0.000 0.000 0.000
Cr1 0.500 0.500 0.000
As1 0.000 0.500 0.500
H1 0.000 0.000 0.500

[6]
The following is a DFT calculation (PBE-GGA) of an optimized crystal structure of HfCrAs.

Properties
- density (g cm⁻³) = 9.726
- ΔH_f (0 K) (eV per formula unit) = -1.0
- M_tot (μB/cell) = 2.55

abc: 9.691 3.467 6.712
angles: 90.00 112.36 90.00
Space group Cm (No. 8)
Symmetry-distinct sites (fractional):
Hf1 0.000 0.000 0.000
Hf2 0.177 0.000 0.628
Cr1 0.126 0.500 0.303
Cr2 0.390 0.000 0.288
As1 0.221 0.500 0.992
As2 0.387 0.500 0.568

Please write out number 3 again, unchanged.
The following is a DFT calculation (PBE-GGA) of an optimized crystal structure of Cr2AsHSe.

Properties
- density (g cm⁻³) = 3.513
- M_tot (μB/cell) = 8.76
- raw total energy (eV/cell) = -25.0

abc: 4.874 4.874 5.151
angles: 90.00 90.00 90.00
Space group P4/mmm (No. 123)
Symmetry-distinct sites (fractional):
Cr1 0.000 0.500 0.000
As1 0.000 0.000 0.000
H1 0.500 0.500 0.500
Se1 0.000 0.000 0.500

Question: Among the records above, which one has the highest M_tot?
Answer: Cr2AsHSe

Question: Which formula does entry 4 have?
Answer: Ti2CrAsH